VASP calculation (PBE) on crystalline PmPr2Ho at its relaxed geometry.

Values from the calculation:
Polymorph energy (0 for the lowest one), eV per atom: 0.000
ΔE_f, eV per formula unit: 0.1
Volume, Å³ per cell: 411.8
ρ, g cm⁻³: 7.2

abc: 3.6572 3.6572 35.5542
angles: 90.00 90.00 120.00
Closest atoms and distances in Å follow each position.
Space group R-3m (No. 166, hexagonal axes)
Asymmetric unit:
Pm (0.0000, 0.0000, 0.0000)  6 Pm 3.66, 6 Pr 3.68
Pr (0.0000, 0.0000, 0.2487)  3 Ho 3.60, 6 Pr 3.66, 3 Pm 3.68
Ho (0.0000, 0.0000, 0.5000)  6 Pr 3.60, 6 Ho 3.66